Here is a relaxed structure of ScIn3 from Alexandria via LeMat-Bulk. Energies are from PBE.

a b c (Å): 5.814 5.814 5.814
angles (deg): 90.00 90.00 90.00
Space group Pm-3n (No. 223)
One atom of each set of equivalent atoms:
Sc: 0.000 0.000 0.000
In: 0.000 0.250 0.500

The calculation puts the theoretical density at 6.58 g cm⁻³.

Here is a relaxed structure of ScIn from Alexandria via LeMat-Bulk. Energies are from PBE.

a b c (Å): 8.2610 8.2610 5.2038
angles (deg): 90.00 90.00 120.00
Space group P6_3/m (No. 176)
One atom of each set of equivalent atoms:
Sc: 0.0539 0.8075 0.2500
In: 0.0970 0.6200 0.7500

The calculation puts the theoretical density at 5.18 g cm⁻³.

Here is a relaxed structure of Sc5In2 from Alexandria via LeMat-Bulk. Energies are from PBE.

a b c (Å): 15.198 5.023 8.686
angles (deg): 90.00 100.91 90.00
Space group C2/c (No. 15)
One atom of each set of equivalent atoms:
Sc: 0.000 0.250 0.250
Sc: 0.142 0.250 0.964
Sc: 0.227 0.249 0.326
In: 0.076 0.250 0.609

The calculation puts the theoretical density at 4.64 g cm⁻³.

Here is a relaxed structure of ScIn from Alexandria via LeMat-Bulk. Energies are from PBE.

a b c (Å): 11.413 3.368 7.708
angles (deg): 90.00 107.94 90.00
Space group Cm (No. 8)
One atom of each set of equivalent atoms:
Sc: 0.000 0.000 0.000
Sc: 0.031 0.000 0.588
Sc: 0.351 0.000 0.240
In: 0.137 0.500 0.335
In: 0.211 0.500 0.905
In: 0.325 0.000 0.646

The calculation puts the theoretical density at 5.65 g cm⁻³.

Here is a relaxed structure of Sc4In from Alexandria via LeMat-Bulk. Energies are from PBE.

a b c (Å): 7.214 7.214 4.521
angles (deg): 90.00 90.00 90.00
Space group I4/m (No. 87)
One atom of each set of equivalent atoms:
Sc: 0.108 0.696 0.000
In: 0.000 0.000 0.500

The calculation puts the theoretical density at 4.16 g cm⁻³. The value obtained for the energy above the lowest structure with this stoichiometry is 0.0000 eV/atom.

Here is a relaxed structure of Sc5In3 from Alexandria via LeMat-Bulk. Energies are from PBE.

a b c (Å): 8.5520 8.5520 6.0484
angles (deg): 90.00 90.00 120.00
Space group P6_3/mcm (No. 193)
One atom of each set of equivalent atoms:
Sc: 0.0000 0.2330 0.2500
Sc: 0.3333 0.6667 0.0000
In: 0.0000 0.4006 0.7500

The calculation puts the theoretical density at 4.93 g cm⁻³. The value obtained for the energy above the lowest structure with this stoichiometry is 0.0000 eV/atom.

Here is a relaxed structure of Sc4In3 from Alexandria via LeMat-Bulk. Energies are from PBE.

a b c (Å): 3.813 3.813 22.767
angles (deg): 90.00 90.00 90.00
Space group I4/mmm (No. 139)
One atom of each set of equivalent atoms:
Sc: 0.000 0.000 0.072
Sc: 0.000 0.000 0.355
In: 0.000 0.000 0.213
In: 0.000 0.000 0.500

The calculation puts the theoretical density at 5.26 g cm⁻³.

Here is a relaxed structure of ScIn from Alexandria via LeMat-Bulk. Energies are from PBE.

a b c (Å): 5.842 5.842 5.970
angles (deg): 90.00 90.00 90.00
Space group P4_2/mnm (No. 136)
One atom of each set of equivalent atoms:
Sc: 0.189 0.189 0.000
In: 0.186 0.186 0.500

The calculation puts the theoretical density at 5.21 g cm⁻³.

For the records above, the corresponding formation energy from the elements values read -113 -179 -282 -277 -172 -353 -209 -34 meV/atom.